First-principles (SCAN) data for a PBEsol-optimized structure of NiBH2, as listed in the Alexandria database.

- Spin magnetization: 0.00 μB per atom
- Crystal system: tetragonal
- Calculated total energy: -112.2 eV for the cell shown
- Calculated density: 4.99 g/cm3

Cell lengths 2.928, 2.928, 11.107 Å; angles 90.00, 90.00, 90.00 degrees
Space group I-42d (No. 122)
One atom of each set of equivalent atoms:
Ni 0.000 0.000 0.000 x4
B 0.000 0.000 0.500 x4
H 0.227 0.250 0.625 x8